DFT (PBE-GGA) results for an optimized crystal structure of Nd2HoInC.

Cell: 4.9050 5.1395 5.1395 Å, 90.00 90.00 90.00°
With the nearest neighbours (Å) after each atom.
Fractional positions:
Nd1 0.0000 0.0000 0.5000  2 C 2.57
Nd2 0.0000 0.5000 0.0000  2 C 2.57
Ho1 0.5000 0.0000 0.0000  2 C 2.45
In1 0.5000 0.5000 0.5000  8 Nd 3.55, 4 Ho 3.63
C1 0.0000 0.0000 0.0000  2 Ho 2.45, 4 Nd 2.57

As for the space group: P4/mmm (123). Its formation energy is -374 meV/atom. For the calculated total energy, the calculation gives -5.589 eV per atom.

***

DFT (PBE-GGA) results for an optimized crystal structure of AcEuTmSn.

Cell: 5.6430 5.6430 5.6430 Å, 60.00 60.00 60.00°
With the nearest neighbours (Å) after each atom.
Fractional positions:
Eu1 0.0000 0.0000 0.0000  4 Ac 3.46, 4 Sn 3.46
Ac1 0.7500 0.7500 0.7500  4 Eu 3.46, 4 Tm 3.46
Tm1 0.5000 0.5000 0.5000  4 Ac 3.46, 4 Sn 3.46
Sn1 0.2500 0.2500 0.2500  4 Tm 3.46, 4 Eu 3.46

As for the space group: F-43m (216). Its formation energy is -132 meV/atom. For the calculated total energy, the calculation gives -5.847 eV per atom.

***

DFT (PBE-GGA) results for an optimized crystal structure of CsSiN2.

Cell: 4.9024 6.9053 6.6041 Å, 111.73 98.99 114.26°
With the nearest neighbours (Å) after each atom.
Fractional positions:
Cs1 0.0929 0.3429 0.1859  8 N 3.33-3.59
Cs2 0.9071 0.6571 0.8141  8 N 3.33-3.59
Si1 0.7487 0.9987 0.4975  4 N 1.75
Si2 0.2513 0.0013 0.5025  4 N 1.75
N1 0.5032 0.0651 0.3461  2 Si 1.75
N2 0.8429 0.7810 0.3461  2 Si 1.75
N3 0.4968 0.9349 0.6539  2 Si 1.75
N4 0.1571 0.2190 0.6539  2 Si 1.75

As for the space group: C2/c (15). The value obtained for the distance to the lowest polymorph of the same formula is 0.128 eV per atom. For the calculated total energy, the calculation gives -6.057 eV per atom. Its uncorrected formation energy is -0.33 eV per atom.

***

DFT (PBE-GGA) results for an optimized crystal structure of Ti3NiRh.

Cell: 4.3041 5.2256 7.0322 Å, 90.00 90.00 90.00°
With the nearest neighbours (Å) after each atom.
Fractional positions:
Ti1 0.7500 0.7500 0.0309  1 Ni 2.35, 2 Rh 2.63
Ti2 0.2500 0.2500 0.9691  1 Ni 2.35, 2 Rh 2.63
Ti3 0.7500 0.9993 0.6591  3 Ni 2.44-2.53, 2 Ti 2.61-2.62
Ti4 0.7500 0.5007 0.6591  3 Ni 2.44-2.53, 2 Ti 2.61-2.62
Ti5 0.2500 0.0007 0.3409  3 Ni 2.44-2.53, 2 Ti 2.61-2.62
Ti6 0.2500 0.4993 0.3409  3 Ni 2.44-2.53, 2 Ti 2.61-2.62
Ni1 0.7500 0.7500 0.3657  7 Ti 2.35-2.53
Ni2 0.2500 0.2500 0.6343  7 Ti 2.35-2.53
Rh1 0.7500 0.2500 0.1834  8 Ti 2.63-2.82, 2 Ni 2.91
Rh2 0.2500 0.7500 0.8166  8 Ti 2.63-2.82, 2 Ni 2.91

As for the space group: Pmmn (59). Its formation energy is -257 meV/atom. The value obtained for the distance to the lowest polymorph of the same formula is 0.000 eV per atom. For the calculated total energy, the calculation gives -7.620 eV per atom.

***

DFT (PBE-GGA) results for an optimized crystal structure of CeEr5Sc4.

Cell: 6.0603 7.5304 7.5304 Å, 80.68 66.27 66.27°
With the nearest neighbours (Å) after each atom.
Fractional positions:
Ce1 0.2218 0.0000 0.0000  1 Er 2.76
Er1 0.8061 0.3853 0.9035  4 Sc 3.06-3.36, 1 Ce 3.19, 1 Er 3.20
Er2 0.1914 0.9035 0.6147  4 Sc 3.06-3.36, 1 Ce 3.19, 1 Er 3.20
Er3 0.7095 0.0965 0.3853  4 Sc 3.06-3.36, 1 Ce 3.19, 1 Er 3.20
Er4 0.0948 0.6147 0.0965  4 Sc 3.06-3.36, 1 Ce 3.19, 1 Er 3.20
Er5 0.6774 0.0000 0.0000  1 Ce 2.76
Sc1 0.3979 0.4111 0.6978  1 Sc 2.99, 3 Er 3.06-3.34
Sc2 0.8090 0.6978 0.5889  1 Sc 2.99, 3 Er 3.06-3.34
Sc3 0.0956 0.3022 0.4111  1 Sc 2.99, 3 Er 3.06-3.34
Sc4 0.5068 0.5889 0.3022  1 Sc 2.99, 3 Er 3.06-3.34

As for the space group: I4 (79). Its formation energy is 345 meV/atom. For the calculated total energy, the calculation gives -5.062 eV per atom.

***

DFT (PBE-GGA) results for an optimized crystal structure of La3YHg2.

Cell: 5.3945 7.0796 9.7947 Å, 90.00 90.00 90.00°
With the nearest neighbours (Å) after each atom.
Fractional positions:
La1 0.0000 0.4889 0.9425  3 Hg 3.29-3.32, 3 La 3.49-3.63
La2 0.0000 0.9889 0.0575  3 Hg 3.29-3.32, 3 La 3.49-3.63
La3 0.5000 0.6862 0.1745  4 Hg 3.24-3.28, 1 Y 3.56, 2 La 3.63
La4 0.5000 0.1862 0.8255  4 Hg 3.24-3.28, 1 Y 3.56, 2 La 3.63
La5 0.0000 0.3113 0.3275  4 Hg 3.12-3.28, 1 La 3.49
La6 0.0000 0.8113 0.6725  4 Hg 3.12-3.28, 1 La 3.49
Y1 0.5000 0.5126 0.5491  3 Hg 3.27-3.32, 3 La 3.56-3.63
Y2 0.5000 0.0126 0.4509  3 Hg 3.27-3.32, 3 La 3.56-3.63
Hg1 0.5000 0.7276 0.8446  6 La 3.24-3.32, 1 Y 3.27
Hg2 0.5000 0.2276 0.1554  6 La 3.24-3.32, 1 Y 3.27
Hg3 0.0000 0.2734 0.6450  5 La 3.12-3.29, 2 Y 3.32
Hg4 0.0000 0.7734 0.3550  5 La 3.12-3.29, 2 Y 3.32

As for the space group: Pmc2_1 (26). Its formation energy is -345 meV/atom. For the calculated total energy, the calculation gives -3.987 eV per atom.

***

DFT (PBE-GGA) results for an optimized crystal structure of PaSe2.

Cell: 6.8527 6.8527 6.8527 Å, 90.00 90.00 90.00°
With the nearest neighbours (Å) after each atom.
Fractional positions:
Pa1 0.5000 0.5000 0.0000  8 Se 2.97
Pa2 0.5000 0.0000 0.5000  8 Se 2.97
Pa3 0.0000 0.5000 0.5000  8 Se 2.97
Pa4 0.0000 0.0000 0.0000  8 Se 2.97
Se1 0.2501 0.7499 0.2499  4 Pa 2.97
Se2 0.7499 0.2499 0.2501  4 Pa 2.97
Se3 0.2499 0.2501 0.7499  4 Pa 2.97
Se4 0.7501 0.7501 0.7501  4 Pa 2.97
Se5 0.7499 0.2501 0.7501  4 Pa 2.97
Se6 0.2501 0.7501 0.7499  4 Pa 2.97
Se7 0.7501 0.7499 0.2501  4 Pa 2.97
Se8 0.2499 0.2499 0.2499  4 Pa 2.97

As for the space group: Fm-3m (225). For the calculated total energy, the calculation gives -6.806 eV per atom. Its uncorrected formation energy is -1.32 eV per atom.

***

DFT (PBE-GGA) results for an optimized crystal structure of KTlSb.

Cell: 6.9093 6.9093 6.9093 Å, 150.01 141.81 49.30°
With the nearest neighbours (Å) after each atom.
Fractional positions:
Sb1 0.3151 0.3151 0.0000  4 Tl 3.30, 2 Sb 3.58, 4 K 3.68
Tl1 0.6872 0.6872 0.0000  4 Sb 3.30, 2 Tl 3.58
K1 0.9977 0.9977 0.0000  2 K 3.58, 5 Sb 3.68-3.99, 5 Tl 3.74-3.90

As for the space group: Imm2 (44). The value obtained for the distance to the lowest polymorph of the same formula is 0.057 eV per atom. For the calculated total energy, the calculation gives -2.748 eV per atom. Its uncorrected formation energy is -0.22 eV per atom.

***

DFT (PBE-GGA) results for an optimized crystal structure of AlInRePd2.

Cell: 4.4834 4.9947 4.4834 Å, 90.00 90.00 90.00°
With the nearest neighbours (Å) after each atom.
Fractional positions:
Re1 0.5000 0.5000 0.5000  4 In 3.17, 8 Pd 3.36
Al1 0.0000 0.0000 0.0000  4 Pd 2.24, 2 In 2.50
Pd1 0.0000 0.0000 0.5000  2 Al 2.24
Pd2 0.5000 0.0000 0.0000  2 Al 2.24
In1 0.0000 0.5000 0.0000  2 Al 2.50

As for the space group: P4/mmm (123). Its formation energy is 1066 meV/atom. For the calculated total energy, the calculation gives -4.797 eV per atom.

***

DFT (PBE-GGA) results for an optimized crystal structure of CeAuBr6.

Cell: 8.0166 8.3660 7.4098 Å, 61.44 62.25 45.36°
With the nearest neighbours (Å) after each atom.
Fractional positions:
Ce1 0.5000 0.5000 0.5000  6 Br 2.70-2.90
Au1 0.0000 0.0000 0.0000  4 Br 2.57-2.60
Br1 0.1093 0.5170 0.6802  1 Ce 2.70
Br2 0.7167 0.0908 0.8322  1 Au 2.57
Br3 0.6278 0.2026 0.2874  1 Au 2.60, 1 Ce 2.90
Br4 0.2833 0.9092 0.1678  1 Au 2.57
Br5 0.8907 0.4830 0.3198  1 Ce 2.70
Br6 0.3722 0.7974 0.7126  1 Au 2.60, 1 Ce 2.90

As for the space group: P-1 (2). The value obtained for the distance to the lowest polymorph of the same formula is 0.029 eV per atom. For the calculated total energy, the calculation gives -3.362 eV per atom. Its uncorrected formation energy is -0.96 eV per atom.

***

DFT (PBE-GGA) results for an optimized crystal structure of Pm4PrAl4.

Cell: 6.0717 8.9079 8.9079 Å, 90.00 90.00 90.00°
With the nearest neighbours (Å) after each atom.
Fractional positions:
Pm1 0.3819 0.4264 0.8303  1 Pr 3.10, 5 Al 3.14-3.47, 1 Pm 3.29
Pm2 0.8819 0.6697 0.9264  1 Pr 3.10, 5 Al 3.14-3.47, 1 Pm 3.29
Pm3 0.3819 0.5736 0.1697  1 Pr 3.10, 5 Al 3.14-3.47, 1 Pm 3.29
Pm4 0.1181 0.0736 0.6697  1 Pr 3.10, 5 Al 3.14-3.47, 1 Pm 3.29
Pm5 0.6181 0.8303 0.5736  1 Pr 3.10, 5 Al 3.14-3.47, 1 Pm 3.29
Pm6 0.1181 0.9264 0.3303  1 Pr 3.10, 5 Al 3.14-3.47, 1 Pm 3.29
Pm7 0.8819 0.3303 0.0736  1 Pr 3.10, 5 Al 3.14-3.47, 1 Pm 3.29
Pm8 0.6181 0.1697 0.4264  1 Pr 3.10, 5 Al 3.14-3.47, 1 Pm 3.29
Pr1 0.0000 0.0000 0.0000  4 Pm 3.10, 4 Al 3.12
Pr2 0.5000 0.5000 0.5000  4 Pm 3.10, 4 Al 3.12
Al1 0.5934 0.9072 0.1921  2 Al 2.92, 1 Pr 3.12, 3 Pm 3.14-3.24
Al2 0.5934 0.0928 0.8079  2 Al 2.92, 1 Pr 3.12, 3 Pm 3.14-3.24
Al3 0.0934 0.6921 0.5928  2 Al 2.92, 1 Pr 3.12, 3 Pm 3.14-3.24
Al4 0.9066 0.4072 0.6921  2 Al 2.92, 1 Pr 3.12, 3 Pm 3.14-3.24
Al5 0.9066 0.5928 0.3079  2 Al 2.92, 1 Pr 3.12, 3 Pm 3.14-3.24
Al6 0.4066 0.1921 0.0928  2 Al 2.92, 1 Pr 3.12, 3 Pm 3.14-3.24
Al7 0.4066 0.8079 0.9072  2 Al 2.92, 1 Pr 3.12, 3 Pm 3.14-3.24
Al8 0.0934 0.3079 0.4072  2 Al 2.92, 1 Pr 3.12, 3 Pm 3.14-3.24

As for the space group: P4_2/n (86). Its formation energy is -141 meV/atom. For the calculated total energy, the calculation gives -4.447 eV per atom.

***

DFT (PBE-GGA) results for an optimized crystal structure of SiBAsRhS.

Cell: 5.1515 2.9881 5.4726 Å, 90.00 104.33 90.00°
With the nearest neighbours (Å) after each atom.
Fractional positions:
Si1 0.6306 0.0000 0.7831  1 B 2.03
As1 0.3364 0.0000 0.0616  1 B 2.10
B1 0.9393 0.0000 0.0953  2 S 1.93, 1 Si 2.03, 1 As 2.10
Rh1 0.5170 0.5000 0.4296  2 Si 2.40, 2 As 2.50, 1 S 2.50
S1 0.9621 0.5000 0.3228  2 B 1.93

As for the space group: Pm (6). The value obtained for the distance to the lowest polymorph of the same formula is 0.031 eV per atom. For the calculated total energy, the calculation gives -5.816 eV per atom. Its uncorrected formation energy is -0.17 eV per atom.

***

| no. | D(E_F) (states/eV per atom) | volume (Å³ per cell) |
| --- | --- | --- |
| 1 | 0.4531 | 129.56 |
| 2 | 1.4135 | 127.06 |
| 3 | 0.8813 | 176.32 |
| 4 | 0.9558 | 158.16 |
| 5 | 1.7856 | 288.02 |
| 6 | 0.6996 | 374.07 |
| 7 | 1.9298 | 321.80 |
| 8 | 0.3749 | 101.50 |
| 9 | 0.6554 | 100.40 |
| 10 | 0.6345 | 303.79 |
| 11 | 0.9734 | 481.79 |
| 12 | 0.4167 | 81.62 |